[1]
{"formula": "DySbPd14", "functional": "PBE", "state": "relaxed", "dft_energy_ev_per_atom": -5.3982, "m_tot_mub_per_cell": 0.00, "dos_ef_per_ev_cell": 25.2, "lattice_angstrom": [[-4.879, -3.011, -0.206], [2.477, -4.220, 2.996], [-2.367, 3.377, 6.715]], "species": ["Pd", "Pd", "Pd", "Pd", "Pd", "Pd", "Pd", "Pd", "Pd", "Pd", "Sb", "Pd", "Dy", "Pd", "Pd", "Pd"], "fractional_positions": [[0.875, 0.375, 0.000], [0.375, 0.375, 0.000], [0.375, 0.875, 0.500], [0.123, 0.123, 0.754], [0.875, 0.875, 0.000], [0.627, 0.627, 0.754], [0.627, 0.123, 0.246], [0.627, 0.123, 0.754], [0.875, 0.375, 0.500], [0.123, 0.627, 0.754], [0.875, 0.875, 0.500], [0.627, 0.627, 0.246], [0.375, 0.375, 0.500], [0.123, 0.627, 0.246], [0.375, 0.875, 0.000], [0.123, 0.123, 0.246]]}


[2]
{"formula": "Sc6Ni2As", "functional": "PBE", "state": "relaxed", "dft_energy_ev_per_atom": -6.5207, "m_tot_mub_per_cell": 0.00, "dos_ef_per_ev_cell": 17.2, "lattice_angstrom": [[1.197, 3.397, -6.856], [1.396, -7.616, -0.178], [-7.423, 0.727, 2.087]], "species": ["As", "Ni", "Sc", "Sc", "Sc", "Ni", "Ni", "Sc", "As", "Sc", "Sc", "Sc", "Sc", "Sc", "Ni", "Sc", "Sc", "Sc"], "fractional_positions": [[0.000, 0.500, 0.500], [0.500, 0.370, 0.870], [0.530, 0.711, 0.819], [0.697, 0.368, 0.671], [0.303, 0.975, 0.671], [0.500, 0.630, 0.130], [0.651, 0.000, 0.651], [0.200, 0.770, 0.969], [0.000, 0.000, 0.000], [0.470, 0.289, 0.181], [0.108, 0.289, 0.819], [0.697, 0.025, 0.329], [0.800, 0.770, 0.570], [0.200, 0.230, 0.430], [0.349, 0.000, 0.349], [0.892, 0.711, 0.181], [0.303, 0.632, 0.329], [0.800, 0.230, 0.031]]}


[3]
{"formula": "BaCo2Hg2", "functional": "PBE", "state": "relaxed", "dft_energy_ev_per_atom": -2.9906, "m_tot_mub_per_cell": 5.42, "polymorph_energy_mev_per_atom": 173, "dos_ef_per_ev_cell": 10.9, "lattice_angstrom": [[-2.706, -0.863, -7.406], [5.867, -5.109, -1.548], [-1.991, -2.598, 1.030]], "species": ["Ba", "Hg", "Co", "Ba", "Co", "Hg", "Hg", "Co", "Hg", "Co"], "fractional_positions": [[0.500, 0.500, 0.000], [0.830, 0.330, 0.500], [0.602, 0.102, 0.000], [0.000, 0.000, 0.000], [0.898, 0.602, 0.000], [0.170, 0.670, 0.500], [0.330, 0.170, 0.500], [0.398, 0.898, 0.000], [0.670, 0.830, 0.500], [0.102, 0.398, 0.000]]}


[4]
{"formula": "Li7Sn4Au", "functional": "PBE", "state": "relaxed", "dft_energy_ev_per_atom": -2.9533, "m_tot_mub_per_cell": 0.00, "dos_ef_per_ev_cell": 4.5, "lattice_angstrom": [[4.878, 0.000, 0.000], [2.439, 7.845, 0.034], [2.439, 0.353, 6.786]], "species": ["Au", "Li", "Li", "Li", "Li", "Sn", "Sn", "Li", "Li", "Sn", "Sn", "Li"], "fractional_positions": [[0.000, 0.000, 0.000], [0.356, 0.589, 0.698], [0.500, 0.000, 0.000], [0.644, 0.411, 0.302], [0.943, 0.305, 0.809], [0.702, 0.639, 0.957], [0.569, 0.209, 0.653], [0.217, 0.145, 0.421], [0.057, 0.695, 0.191], [0.298, 0.361, 0.043], [0.431, 0.791, 0.347], [0.783, 0.855, 0.579]]}